Entry 1:
# Cd2BiSe | the Alexandria database | GGA-PBE | optimized geometry
# Fermi-level density of states = 0.524 states/eV per atom
# uncorrected formation energy = -0.045 eV/atom
data_Cd2BiSe
_chemical_formula_sum 'Cd6 Bi3 Se3'
_symmetry_space_group_name_H-M 'R -3 m'
_symmetry_Int_Tables_number 166
_symmetry_space_group_name_Hall '-R 3 2"'
_cell_length_a 3.8636
_cell_length_b 3.8636
_cell_length_c 27.9697
_cell_angle_alpha 90.00
_cell_angle_beta 90.00
_cell_angle_gamma 120.00
loop_
_atom_site_label
_atom_site_type_symbol
_atom_site_fract_x
_atom_site_fract_y
_atom_site_fract_z
Cd1 Cd 0.0000 0.0000 0.1058
Bi1 Bi 0.0000 0.0000 0.0000
Se1 Se 0.0000 0.0000 0.5000


Entry 2:
# CsKBa2Mg | the Alexandria database | GGA-PBE | optimized geometry
# Fermi-level density of states = 1.139 states/eV per atom
data_CsKBa2Mg
_chemical_formula_sum 'Cs1 K1 Ba2 Mg1'
_symmetry_space_group_name_H-M 'P 4/m m m'
_symmetry_Int_Tables_number 123
_symmetry_space_group_name_Hall '-P 4 2'
_cell_length_a 7.0613
_cell_length_b 7.0613
_cell_length_c 7.5829
_cell_angle_alpha 90.00
_cell_angle_beta 90.00
_cell_angle_gamma 90.00
loop_
_atom_site_label
_atom_site_type_symbol
_atom_site_fract_x
_atom_site_fract_y
_atom_site_fract_z
Cs1 Cs 0.0000 0.0000 0.0000
K1 K 0.5000 0.5000 0.0000
Ba1 Ba 0.0000 0.5000 0.5000
Mg1 Mg 0.0000 0.0000 0.5000


Entry 3:
# Ca2HoHg4 | the Alexandria database | GGA-PBE | optimized geometry
# Fermi-level density of states = 0.607 states/eV per atom
data_Ca2HoHg4
_chemical_formula_sum 'Ca6 Ho3 Hg12'
_symmetry_space_group_name_H-M 'R -3 m'
_symmetry_Int_Tables_number 166
_symmetry_space_group_name_Hall '-R 3 2"'
_cell_length_a 5.1762
_cell_length_b 5.1762
_cell_length_c 26.3032
_cell_angle_alpha 90.00
_cell_angle_beta 90.00
_cell_angle_gamma 120.00
loop_
_atom_site_label
_atom_site_type_symbol
_atom_site_fract_x
_atom_site_fract_y
_atom_site_fract_z
Ca1 Ca 0.0000 0.0000 0.2443
Ho1 Ho 0.0000 0.0000 0.0000
Hg1 Hg 0.0000 0.0000 0.1235
Hg2 Hg 0.0000 0.0000 0.3694


Entry 4:
# Tm12Tl3Ga | the Alexandria database | GGA-PBE | optimized geometry
# Fermi-level density of states = 1.283 states/eV per atom
data_Tm12Tl3Ga
_chemical_formula_sum 'Tm12 Tl3 Ga1'
_symmetry_space_group_name_H-M 'P 4/m m m'
_symmetry_Int_Tables_number 123
_symmetry_space_group_name_Hall '-P 4 2'
_cell_length_a 4.7552
_cell_length_b 4.7552
_cell_length_c 19.0490
_cell_angle_alpha 90.00
_cell_angle_beta 90.00
_cell_angle_gamma 90.00
loop_
_atom_site_label
_atom_site_type_symbol
_atom_site_fract_x
_atom_site_fract_y
_atom_site_fract_z
Tm1 Tm 0.0000 0.0000 0.0000
Tm2 Tm 0.0000 0.0000 0.2464
Tm3 Tm 0.0000 0.0000 0.5000
Tm4 Tm 0.0000 0.5000 0.1184
Tm5 Tm 0.0000 0.5000 0.3735
Tl1 Tl 0.5000 0.5000 0.2469
Tl2 Tl 0.5000 0.5000 0.5000
Ga1 Ga 0.5000 0.5000 0.0000


Number 1: energy -2.34 eV per atom, total moment 0.000 μB/atom. Number 2: energy -1.27 eV per atom, total moment 0.000 μB/atom. Number 3: energy -1.78 eV per atom, total moment 0.000 μB/atom. Number 4: energy -4.17 eV per atom, total moment 0.000 μB/atom.